The following is a DFT calculation (PBE-GGA) of a geometry-optimized AcHoGeAu structure.

The structure in extended XYZ format:
```
4
Lattice="5.319 0.000 0.000 2.660 4.607 0.000 2.660 1.536 4.343" Properties=species:S:1:pos:R:3 pbc="T T T"
Au 7.979 4.607 3.257
Ge 2.660 1.536 1.086
Ho 0.000 0.000 0.000
Ac 5.319 3.071 2.172
```

density = 10.32 g cm⁻³
ΔH_f (0 K) = -651 meV per atom